Record 1
# Mg2ReOsW (GGA-PBE, relaxed)
data_Mg2ReOsW
_space_group_name_H-M_alt 'P 4/m m m'
_space_group_IT_number 123
_space_group_name_Hall '-P 4 2'
_cell_length_a 4.7746
_cell_length_b 4.7746
_cell_length_c 4.7362
_cell_angle_alpha 90.00
_cell_angle_beta 90.00
_cell_angle_gamma 90.00
loop_
_atom_site_label
_atom_site_fract_x
_atom_site_fract_y
_atom_site_fract_z
_atom_site_occupancy
Mg1 0.0000 0.5000 0.0000 1
Re1 0.0000 0.0000 0.5000 1
Os1 0.0000 0.0000 0.0000 1
W1 0.5000 0.5000 0.5000 1
# Energy relative to the elements in eV per atom: 1.73
# Total energy in eV per atom: -6.239
# Magnetic moment in μB per cell: 2.6
# Fermi-level density of states in states/eV per cell: 3.22

***

Record 2
# Ta2SiMo (GGA-PBE, relaxed)
data_Ta2SiMo
_space_group_name_H-M_alt 'I -4 2 d'
_space_group_IT_number 122
_space_group_name_Hall 'I -4 2bw'
_cell_length_a 7.1932
_cell_length_b 7.1932
_cell_length_c 5.4387
_cell_angle_alpha 90.00
_cell_angle_beta 90.00
_cell_angle_gamma 90.00
loop_
_atom_site_label
_atom_site_fract_x
_atom_site_fract_y
_atom_site_fract_z
_atom_site_occupancy
Ta1 0.2339 0.7500 0.1250 1
Si1 0.0000 0.0000 0.0000 1
Mo1 0.0000 0.0000 0.5000 1
# Energy relative to the elements, uncorrected in meV/atom: 513.2
# Total energy in eV per atom: -9.477
# Magnetic moment in μB per cell: 0.0
# Fermi-level density of states in states/eV per cell: 13.39

***

Record 3
# NpAg2AuCl8 (GGA-PBE, relaxed)
data_NpAg2AuCl8
_space_group_name_H-M_alt 'P -1'
_space_group_IT_number 2
_cell_length_a 6.4920
_cell_length_b 6.9888
_cell_length_c 9.7234
_cell_angle_alpha 69.59
_cell_angle_beta 79.37
_cell_angle_gamma 67.27
loop_
_space_group_symop_operation_xyz
'x,y,z'
'-x,-y,-z'
loop_
_atom_site_label
_atom_site_fract_x
_atom_site_fract_y
_atom_site_fract_z
_atom_site_occupancy
Np1 0.0000 0.0000 0.0000 1
Ag1 0.4636 0.0158 0.3067 1
Au1 0.0000 0.5000 0.5000 1
Cl1 0.0605 0.3502 0.8657 1
Cl2 0.0895 0.0071 0.2447 1
Cl3 0.3737 0.3016 0.4631 1
Cl4 0.4132 0.7880 0.9508 1
# Energy relative to the elements, uncorrected in meV/atom: -899.3
# Total energy in eV per atom: -3.957
# Magnetic moment in μB per cell: 2.0
# Fermi-level density of states in states/eV per cell: 7.45

***

Record 4
# Tb2DyAu6 (GGA-PBE, relaxed)
data_Tb2DyAu6
_space_group_name_H-M_alt 'C 1 2/m 1'
_space_group_IT_number 12
_cell_length_a 5.2686
_cell_length_b 16.2147
_cell_length_c 5.2428
_cell_angle_alpha 90.00
_cell_angle_beta 119.51
_cell_angle_gamma 90.00
loop_
_space_group_symop_operation_xyz
'x,y,z'
'-x,-y,-z'
'-x,y,-z'
'x,-y,z'
'x+1/2,y+1/2,z'
'-x+1/2,-y+1/2,-z'
'-x+1/2,y+1/2,-z'
'x+1/2,-y+1/2,z'
loop_
_atom_site_label
_atom_site_fract_x
_atom_site_fract_y
_atom_site_fract_z
_atom_site_occupancy
Tb1 0.0000 0.1651 0.0000 1
Dy1 0.0000 0.5000 0.5000 1
Au1 0.1570 0.0000 0.8274 1
Au2 0.1632 0.3346 0.3325 1
# Energy relative to the elements in eV per atom: -0.79
# Total energy in eV per atom: -4.519
# Magnetic moment in μB per cell: 0.0
# Fermi-level density of states in states/eV per cell: 9.64